Density functional theory data (GGA-PBE) for an optimized crystal structure of RbBaSb.

a = 9.4334 Å, b = 5.7868 Å, c = 10.3089 Å
α = 90.00°, β = 90.00°, γ = 90.00°
Fractional coordinates of all 12 atoms:
Rb: 0.0152 0.2500 0.1764
Rb: 0.4848 0.7500 0.6764
Rb: 0.5152 0.2500 0.3236
Rb: 0.9848 0.7500 0.8236
Ba: 0.1552 0.2500 0.5836
Ba: 0.3448 0.7500 0.0836
Ba: 0.6552 0.2500 0.9164
Ba: 0.8448 0.7500 0.4164
Sb: 0.2168 0.7500 0.4006
Sb: 0.2832 0.2500 0.9006
Sb: 0.7168 0.7500 0.0994
Sb: 0.7832 0.2500 0.5994

Calculated values
**Uncorrected energy**: -3.1115 eV per atom